Entry 1:
Density functional theory data (PBE-GGA) for crystalline PmPuRh2 at its relaxed geometry.

Computed properties:
As for the density of states at the Fermi level: 2.028 states/eV per atom. For the formation energy, the calculation gives -0.3219 eV per atom.

a b c (Å): 4.0793 4.0793 11.9447
angles (deg): 90.00 90.00 90.00
Fractional coordinates of all 8 atoms:
Pm 0.2500 0.2500 0.1152
Pm 0.7500 0.7500 0.8848
Pu 0.2500 0.2500 0.6496
Pu 0.7500 0.7500 0.3504
Rh 0.2500 0.2500 0.8698
Rh 0.2500 0.7500 0.5000
Rh 0.7500 0.2500 0.5000
Rh 0.7500 0.7500 0.1302

=====

Entry 2:
Density functional theory data (PBE-GGA) for crystalline HRuPt at its relaxed geometry.

Computed properties:
As for the density of states at the Fermi level: 0.821 states/eV per atom.

a b c (Å): 6.8576 6.8576 8.4384
angles (deg): 123.79 123.79 40.61
Fractional coordinates of all 18 atoms:
H 0.0294 0.5003 0.2931
H 0.0553 0.9447 0.5000
H 0.4296 0.9491 0.1634
H 0.5003 0.0294 0.7931
H 0.9447 0.0553 0.0000
H 0.9491 0.4296 0.6634
Ru 0.2298 0.4782 0.9006
Ru 0.3384 0.6101 0.7302
Ru 0.4750 0.7200 0.5605
Ru 0.4782 0.2298 0.4006
Ru 0.6101 0.3384 0.2302
Ru 0.7200 0.4750 0.0605
Pt 0.0154 0.7333 0.2380
Pt 0.2288 0.9282 0.2255
Pt 0.4784 0.9721 0.9777
Pt 0.7333 0.0154 0.7380
Pt 0.9282 0.2288 0.7255
Pt 0.9721 0.4784 0.4777

=====

Entry 3:
Density functional theory data (PBE-GGA) for crystalline BaNd3H at its relaxed geometry.

Computed properties:
As for the density of states at the Fermi level: 1.039 states/eV per atom.

a b c (Å): 5.3431 5.3431 5.3431
angles (deg): 90.00 90.00 90.00
Fractional coordinates of all 5 atoms:
Ba 0.0000 0.0000 0.0000
Nd 0.0000 0.5000 0.5000
Nd 0.5000 0.0000 0.5000
Nd 0.5000 0.5000 0.0000
H 0.5000 0.5000 0.5000

=====

Entry 4:
Density functional theory data (PBE-GGA) for crystalline La8Co2Ge at its relaxed geometry.

Computed properties:
As for the density of states at the Fermi level: 1.134 states/eV per atom. For the formation energy, the calculation gives -0.1438 eV per atom.

a b c (Å): 7.7992 7.7992 6.6015
angles (deg): 100.64 100.64 117.24
Fractional coordinates of all 11 atoms:
La 0.0000 0.0000 0.0000
La 0.1718 0.5796 0.2120
La 0.2724 0.9982 0.5896
La 0.4600 0.7373 0.8140
La 0.5796 0.1718 0.2120
La 0.7169 0.7169 0.3874
La 0.7373 0.4600 0.8140
La 0.9982 0.2724 0.5896
Co 0.0593 0.6775 0.6886
Co 0.6775 0.0593 0.6886
Ge 0.3631 0.3631 0.9798

=====

Entry 5:
Density functional theory data (PBE-GGA) for crystalline ThU3S6 at its relaxed geometry.

Computed properties:
The calculation puts the energy relative to the elements, uncorrected at -1.502 eV per atom. As for the density of states at the Fermi level: 1.757 states/eV per atom.

a b c (Å): 10.9662 3.8968 11.3646
angles (deg): 90.00 107.76 90.00
Fractional coordinates of all 20 atoms:
Th 0.0476 0.2500 0.1954
Th 0.9524 0.7500 0.8046
U 0.1498 0.2500 0.5744
U 0.3243 0.7500 0.0030
U 0.4300 0.2500 0.3355
U 0.5700 0.7500 0.6645
U 0.6757 0.2500 0.9970
U 0.8502 0.7500 0.4256
S 0.0873 0.7500 0.3966
S 0.1198 0.2500 0.9641
S 0.1926 0.7500 0.7491
S 0.2576 0.7500 0.2228
S 0.3958 0.2500 0.5652
S 0.4917 0.2500 0.1226
S 0.5083 0.7500 0.8774
S 0.6042 0.7500 0.4348
S 0.7424 0.2500 0.7772
S 0.8074 0.2500 0.2509
S 0.8802 0.7500 0.0359
S 0.9127 0.2500 0.6034

=====

Entry 6:
Density functional theory data (PBE-GGA) for crystalline NbHg at its relaxed geometry.

Computed properties:
As for the density of states at the Fermi level: 0.719 states/eV per atom. For the formation energy, the calculation gives 0.1839 eV per atom.

a b c (Å): 10.2724 10.2724 3.2908
angles (deg): 90.00 90.00 90.00
Fractional coordinates of all 16 atoms:
Nb 0.0000 0.3481 0.0000
Nb 0.0000 0.6519 0.0000
Nb 0.1519 0.5000 0.5000
Nb 0.3481 0.0000 0.0000
Nb 0.5000 0.1519 0.5000
Nb 0.5000 0.8481 0.5000
Nb 0.6519 0.0000 0.0000
Nb 0.8481 0.5000 0.5000
Hg 0.1532 0.1532 0.5000
Hg 0.1532 0.8468 0.5000
Hg 0.3468 0.3468 0.0000
Hg 0.3468 0.6532 0.0000
Hg 0.6532 0.3468 0.0000
Hg 0.6532 0.6532 0.0000
Hg 0.8468 0.1532 0.5000
Hg 0.8468 0.8468 0.5000

=====

Entry 7:
Density functional theory data (PBE-GGA) for crystalline BaBe2Ag2 at its relaxed geometry.

Computed properties:
As for the density of states at the Fermi level: 0.444 states/eV per atom. For the formation energy, the calculation gives 0.1945 eV per atom.

a b c (Å): 4.5539 4.5539 9.9305
angles (deg): 90.00 90.00 90.00
Fractional coordinates of all 10 atoms:
Ba 0.0000 0.0000 0.0000
Ba 0.5000 0.5000 0.5000
Be 0.0000 0.0000 0.3650
Be 0.0000 0.0000 0.6350
Be 0.5000 0.5000 0.1350
Be 0.5000 0.5000 0.8650
Ag 0.0000 0.5000 0.2500
Ag 0.0000 0.5000 0.7500
Ag 0.5000 0.0000 0.2500
Ag 0.5000 0.0000 0.7500

=====

Entry 8:
Density functional theory data (PBE-GGA) for crystalline LiNiSCl2 at its relaxed geometry.

Computed properties:
The calculation puts the energy relative to the elements, uncorrected at 0.379 eV per atom. As for the density of states at the Fermi level: 2.872 states/eV per atom.

a b c (Å): 4.8522 4.8522 5.2305
angles (deg): 90.00 90.00 90.00
Fractional coordinates of all 5 atoms:
Li 0.0000 0.0000 0.0000
Ni 0.5000 0.5000 0.5000
S 0.0000 0.0000 0.5000
Cl 0.0000 0.5000 0.0000
Cl 0.5000 0.0000 0.0000

=====

Entry 9:
Density functional theory data (PBE-GGA) for crystalline Ta2CoAs at its relaxed geometry.

Computed properties:
As for the density of states at the Fermi level: 0.597 states/eV per atom. For the formation energy, the calculation gives -0.0511 eV per atom.

a b c (Å): 3.6104 4.5508 7.6103
angles (deg): 90.00 90.00 90.00
Fractional coordinates of all 8 atoms:
Ta 0.0000 0.0000 0.0000
Ta 0.0000 0.5000 0.2961
Ta 0.5000 0.0000 0.2961
Ta 0.5000 0.5000 0.0000
Co 0.0000 0.0000 0.5503
Co 0.5000 0.5000 0.5503
As 0.0000 0.5000 0.7416
As 0.5000 0.0000 0.7416

=====

Entry 10:
Density functional theory data (PBE-GGA) for crystalline Tb2Pm3PrDy6 at its relaxed geometry.

Computed properties:
As for the density of states at the Fermi level: 1.221 states/eV per atom. For the formation energy, the calculation gives 0.0141 eV per atom.

a b c (Å): 6.2156 6.2156 11.8506
angles (deg): 95.00 95.00 119.98
Fractional coordinates of all 12 atoms:
Tb 0.1667 0.8333 0.0000
Tb 0.8333 0.1667 0.0000
Pm 0.0000 0.0000 0.5000
Pm 0.3331 0.6669 0.5000
Pm 0.6669 0.3331 0.5000
Pr 0.5000 0.5000 0.0000
Dy 0.0823 0.4163 0.7509
Dy 0.2495 0.2495 0.2491
Dy 0.4163 0.0823 0.7509
Dy 0.5837 0.9177 0.2491
Dy 0.7505 0.7505 0.7509
Dy 0.9177 0.5837 0.2491

=====

Entry 11:
Density functional theory data (PBE-GGA) for crystalline Na2ZnI4 at its relaxed geometry.

Computed properties:
The calculation puts the energy relative to the elements, uncorrected at -0.947 eV per atom. As for the density of states at the Fermi level: 0.000 states/eV per atom.

a b c (Å): 7.4231 7.4231 11.9767
angles (deg): 90.00 90.00 90.00
Fractional coordinates of all 14 atoms:
Na 0.0000 0.5000 0.2500
Na 0.0000 0.5000 0.7500
Na 0.5000 0.0000 0.2500
Na 0.5000 0.0000 0.7500
Zn 0.0000 0.0000 0.0000
Zn 0.5000 0.5000 0.5000
I 0.2155 0.2155 0.1151
I 0.2155 0.7845 0.8849
I 0.2845 0.2845 0.6151
I 0.2845 0.7155 0.3849
I 0.7155 0.2845 0.3849
I 0.7155 0.7155 0.6151
I 0.7845 0.2155 0.8849
I 0.7845 0.7845 0.1151

=====

Entry 12:
Density functional theory data (PBE-GGA) for crystalline AcSmY4S8 at its relaxed geometry.

Computed properties:
The calculation puts the energy relative to the elements, uncorrected at -1.935 eV per atom. As for the density of states at the Fermi level: 0.622 states/eV per atom.

a b c (Å): 8.2308 8.2308 8.2308
angles (deg): 59.69 59.69 59.69
Fractional coordinates of all 14 atoms:
Ac 0.0000 0.0000 0.0000
Sm 0.6232 0.6232 0.6232
Y 0.1324 0.6235 0.6235
Y 0.2512 0.2512 0.2512
Y 0.6235 0.1324 0.6235
Y 0.6235 0.6235 0.1324
S 0.3780 0.3780 0.8587
S 0.3780 0.8587 0.3780
S 0.3826 0.3826 0.3826
S 0.4194 0.8638 0.8638
S 0.8587 0.3780 0.3780
S 0.8602 0.8602 0.8602
S 0.8638 0.4194 0.8638
S 0.8638 0.8638 0.4194

=====

Number 1: electronic total energy -70.15 eV/cell, M_tot 4.95 μB per formula unit. Number 2: electronic total energy -107.52 eV/cell, M_tot 0.00 μB per formula unit. Number 3: electronic total energy -19.72 eV/cell, M_tot 0.00 μB per formula unit. Number 4: electronic total energy -59.83 eV/cell, M_tot 0.00 μB per formula unit. Number 5: electronic total energy -162.13 eV/cell, M_tot 3.15 μB per formula unit. Number 6: electronic total energy -80.03 eV/cell, M_tot 0.00 μB per formula unit. Number 7: electronic total energy -28.21 eV/cell, M_tot 0.00 μB per formula unit. Number 8: electronic total energy -13.62 eV/cell, M_tot 1.57 μB per formula unit. Number 9: electronic total energy -71.33 eV/cell, M_tot 0.00 μB per formula unit. Number 10: electronic total energy -55.74 eV/cell, M_tot 0.00 μB per formula unit. Number 11: electronic total energy -33.49 eV/cell, M_tot 0.00 μB per formula unit. Number 12: electronic total energy -94.80 eV/cell, M_tot 0.00 μB per formula unit.